# 1
Sc3FeNi8 PBE-GGA relaxed; Fermi-level density of states = 11.4 states/eV per cell; energy relative to the elements = -0.384 eV per atom; size of the total moment = 4.221 μB/cell
1.0
-1.9974 -1.8478 -3.9858
2.7928 -1.9650 -3.4103
-0.3335 -8.2894 1.0883
Sc Fe Ni
3 1 8
direct
0.6233 0.6233 0.1300
0.0083 0.0083 0.9752
0.4941 0.4941 0.5178
0.1305 0.1305 0.6085
0.5632 0.0614 0.8122
0.0614 0.5600 0.3172
0.5632 0.5632 0.8122
0.0614 0.0614 0.3172
0.8116 0.8116 0.5653
0.3117 0.3117 0.0649
0.0614 0.5632 0.8122
0.5600 0.0614 0.3172

=====

# 2
CsNpTe2 PBE-GGA relaxed; Fermi-level density of states = 10.3 states/eV per cell; energy relative to the elements, uncorrected = -20.135 kcal/mol of atoms; size of the total moment = 4.000 μB/cell
1.0
-3.6122 1.4725 2.4477
-0.3966 -1.1534 4.4407
3.2539 7.4952 4.6252
Cs Np Te
1 1 2
direct
0.4985 0.4985 0.5045
0.6673 0.6673 0.9982
0.0638 0.0638 0.8086
0.2704 0.2704 0.1888

=====

# 3
Na2PrF6 PBE-GGA relaxed; Fermi-level density of states = 5.7 states/eV per cell; energy relative to the elements, uncorrected = -68.082 kcal/mol of atoms; size of the total moment = 1.008 μB/cell
1.0
4.2214 0.0000 -1.2129
-0.3528 4.2021 -1.2280
-0.1344 -0.1196 7.4849
Na Pr F
2 1 6
direct
0.2500 0.2500 0.5000
0.7500 0.7500 0.5000
0.0000 0.5000 0.0000
0.0831 0.0831 0.1661
0.1999 0.7000 0.3999
0.8001 0.3000 0.6001
0.4169 0.4168 0.8339
0.5831 0.5832 0.1661
0.9169 0.9169 0.8339

=====

# 4
RbHgSe3 PBE-GGA relaxed; Fermi-level density of states = 9.9 states/eV per cell; energy above the lowest structure with this stoichiometry = 0 meV per atom; energy relative to the elements, uncorrected = -0.582 kcal/mol of atoms; size of the total moment = 0.000 μB/cell
1.0
-4.1201 -1.6450 3.1015
-2.5699 -1.8448 -4.3924
2.3918 -4.8158 0.6231
Se Hg Rb
3 1 1
direct
0.0000 0.5000 0.0000
0.0000 0.0000 0.5000
0.5000 0.0000 0.0000
0.0000 0.0000 0.0000
0.5000 0.5000 0.5000

=====

# 5
NaMnCl4 PBE-GGA relaxed; energy above the lowest structure with this stoichiometry = 0 meV per atom; energy relative to the elements, uncorrected = -28.683 kcal/mol of atoms; size of the total moment = 8.000 μB/cell
1.0
3.7749 0.0000 0.7024
1.7788 7.8825 0.9352
-0.0816 -0.3363 10.9331
Na Mn Cl
2 2 8
direct
0.7374 0.7500 0.2500
0.2626 0.2500 0.7500
0.5000 0.5000 0.0000
0.0000 0.0000 0.5000
0.6750 0.2283 0.9388
0.8421 0.2717 0.5612
0.5558 0.9276 0.6505
0.1339 0.5724 0.8495
0.4442 0.0724 0.3495
0.3250 0.7717 0.0612
0.1579 0.7283 0.4388
0.8661 0.4276 0.1505

=====

# 6
OsI2N2 PBE-GGA relaxed; Fermi-level density of states = 6.6 states/eV per cell; energy above the lowest structure with this stoichiometry = 1372 meV per atom; energy relative to the elements, uncorrected = 59.346 kcal/mol of atoms; size of the total moment = 2.599 μB/cell
1.0
-2.8065 -1.1589 -2.5548
2.7809 -0.6739 -2.7492
0.7306 -7.3951 2.5519
I Os N
2 1 2
direct
0.0000 0.0000 0.0000
0.0000 0.0000 0.5000
0.5000 0.5000 0.5000
0.0000 0.5000 0.0000
0.5000 0.0000 0.0000

=====

# 7
RbAl2N2 PBE-GGA relaxed; Fermi-level density of states = 1.2 states/eV per cell; energy above the lowest structure with this stoichiometry = 0 meV per atom; energy relative to the elements, uncorrected = -12.886 kcal/mol of atoms; size of the total moment = 0.000 μB/cell
1.0
3.7166 0.0000 0.0000
0.0000 3.7166 0.0000
1.8583 1.8583 8.3847
Al Rb N
2 1 2
direct
0.7500 0.2500 0.5000
0.2500 0.7500 0.5000
0.0000 0.0000 0.0000
0.2795 0.2795 0.4410
0.7205 0.7205 0.5590

=====

# 8
K5PtClO2 PBE-GGA relaxed; Fermi-level density of states = 1.0 states/eV per cell; energy relative to the elements, uncorrected = -25.474 kcal/mol of atoms; size of the total moment = 0.063 μB/cell
1.0
-1.9944 -3.0684 -3.8499
1.6010 -4.3323 2.6235
-8.0360 -0.3027 4.4042
K Pt Cl O
5 1 1 2
direct
0.0000 0.0000 0.5000
0.0000 0.5000 0.7884
0.5000 0.0000 0.2116
0.0000 0.5000 0.2116
0.5000 0.0000 0.7884
0.0000 0.0000 0.0000
0.5000 0.5000 0.5000
0.0000 0.0000 0.2269
0.0000 0.0000 0.7731

=====

# 9
Cs5IF4 PBE-GGA relaxed; Fermi-level density of states = 0.0 states/eV per cell; energy relative to the elements, uncorrected = -55.128 kcal/mol of atoms; size of the total moment = 0.000 μB/cell
1.0
4.3226 0.0000 0.9874
1.8524 7.0162 1.8461
-0.3864 -0.4653 11.6471
Cs I F
5 1 4
direct
0.2085 0.9175 0.6655
0.7915 0.0825 0.3345
0.4004 0.3767 0.8225
0.0000 0.5000 0.5000
0.5996 0.6233 0.1775
0.0000 0.0000 0.0000
0.5995 0.2085 0.5925
0.1757 0.3781 0.2705
0.8243 0.6219 0.7295
0.4005 0.7915 0.4075

=====

# 10
Ta2Pd5Au PBE-GGA relaxed; Fermi-level density of states = 13.0 states/eV per cell; energy relative to the elements = 0.011 eV per atom; size of the total moment = 0.000 μB/cell
1.0
-1.7487 0.0866 2.1489
3.6957 -8.2774 1.5532
7.8360 4.6598 6.1886
Ta Pd Au
4 10 2
direct
0.8759 0.7519 0.4946
0.8759 0.7519 0.0054
0.1241 0.2481 0.5054
0.1241 0.2481 0.9946
0.0004 0.0008 0.8756
0.0004 0.0008 0.6244
0.2600 0.5200 0.3871
0.2600 0.5200 0.1129
0.8649 0.7298 0.2500
0.1351 0.2702 0.7500
0.7400 0.4800 0.6129
0.7400 0.4800 0.8871
0.9996 0.9992 0.1244
0.9996 0.9992 0.3756
0.8673 0.7346 0.7500
0.1327 0.2654 0.2500

=====

# 11
LaDy12Sc3 PBE-GGA relaxed; Fermi-level density of states = 24.5 states/eV per cell; energy relative to the elements = 0.042 eV per atom; size of the total moment = 0.000 μB/cell
1.0
4.9587 0.0000 0.0000
0.0000 4.9587 0.0000
0.0000 0.0000 19.8059
La Dy Sc
1 12 3
direct
0.0000 0.0000 0.0000
0.5000 0.5000 0.0000
0.5000 0.5000 0.2558
0.5000 0.5000 0.5000
0.5000 0.5000 0.7442
0.5000 0.0000 0.1319
0.5000 0.0000 0.3773
0.5000 0.0000 0.6227
0.5000 0.0000 0.8681
0.0000 0.5000 0.1319
0.0000 0.5000 0.3773
0.0000 0.5000 0.6227
0.0000 0.5000 0.8681
0.0000 0.0000 0.2538
0.0000 0.0000 0.5000
0.0000 0.0000 0.7462

=====

# 12
HgPbCl4 PBE-GGA relaxed; Fermi-level density of states = 0.5 states/eV per cell; energy above the lowest structure with this stoichiometry = 883 meV per atom; energy relative to the elements, uncorrected = 0.569 kcal/mol of atoms; size of the total moment = 2.027 μB/cell
1.0
-1.3353 1.4630 5.7259
-5.0803 3.0602 1.2389
-4.5832 -2.7614 2.8423
Hg Pb Cl
1 1 4
direct
0.7500 0.7500 0.7500
0.0000 0.0000 0.0000
0.8757 0.3748 0.3748
0.3748 0.3748 0.8757
0.3748 0.8757 0.3748
0.3748 0.3748 0.3748

=====

E_tot values (in eV/atom) by entry order: -6.53, -5.89, -5.02, -2.37, -4.22, -3.62, -5.58, -3.69, -3.72, -6.61, -4.90, -1.87.